Record 1
Material: YFe2Br
Method: DFT, PBE
State: relaxed

Cell lengths 3.362, 3.362, 25.368 Å; angles 90.00, 90.00, 120.00 degrees
Fractional positions:
Y (0.000, 0.000, 0.000)
Y (0.333, 0.667, 0.667)
Y (0.667, 0.333, 0.333)
Fe (0.000, 0.000, 0.243)
Fe (0.000, 0.000, 0.757)
Fe (0.333, 0.667, 0.423)
Fe (0.333, 0.667, 0.910)
Fe (0.667, 0.333, 0.090)
Fe (0.667, 0.333, 0.577)
Br (0.000, 0.000, 0.500)
Br (0.333, 0.667, 0.167)
Br (0.667, 0.333, 0.833)

Properties
Formation energy (no corrections) = 0.49 eV/atom
Total energy = -69.35 eV per cell
Symmetry = R-3m, No. 166
Energy relative to the lowest polymorph listed for this composition = 2.426 eV per formula unit

Record 2
Material: CuPSCl2
Method: DFT, PBE
State: relaxed

Cell lengths 4.500, 4.500, 4.918 Å; angles 90.00, 90.00, 90.00 degrees
Fractional positions:
Cu (0.000, 0.000, 0.000)
P (0.500, 0.500, 0.500)
S (0.000, 0.000, 0.500)
Cl (0.000, 0.500, 0.000)
Cl (0.500, 0.000, 0.000)

Properties
Formation energy (no corrections) = 0.53 eV/atom
Total energy = -14.70 eV per cell
Symmetry = P4/mmm, No. 123
Energy relative to the lowest polymorph listed for this composition = 0.878 eV per formula unit

Record 3
Material: Y3AlSi
Method: DFT, PBE
State: relaxed

Cell lengths 4.116, 7.709, 8.405 Å; angles 88.26, 89.93, 74.62 degrees
Fractional positions:
Y (0.050, 0.401, 0.176)
Y (0.235, 0.029, 0.824)
Y (0.406, 0.686, 0.408)
Y (0.594, 0.314, 0.592)
Y (0.765, 0.971, 0.176)
Y (0.950, 0.599, 0.824)
Al (0.206, 0.090, 0.435)
Al (0.794, 0.910, 0.565)
Si (0.394, 0.711, 0.061)
Si (0.606, 0.289, 0.939)

Properties
Formation energy (no corrections) = -0.41 eV/atom
Total energy = -61.22 eV per cell
Symmetry = P-1, No. 2
Energy relative to the lowest polymorph listed for this composition = 0.000 eV per formula unit